a.
# SbC3

Crystalline SbC3 at its relaxed geometry (GGA-PBEsol, Alexandria).

The structure in CIF format:
```
data_SbC3
_cell_length_a 2.683
_cell_length_b 2.683
_cell_length_c 6.049
_cell_angle_alpha 90.00
_cell_angle_beta 90.00
_cell_angle_gamma 90.00
_space_group_name_H-M_alt 'P 1'
_space_group_IT_number 1
loop_
_space_group_symop_operation_xyz
'x,y,z'
loop_
_atom_site_label
_atom_site_type_symbol
_atom_site_fract_x
_atom_site_fract_y
_atom_site_fract_z
Sb1 Sb 0.000 0.000 0.000
C1 C 0.000 0.500 0.632
C2 C 0.500 0.000 0.368
C3 C 0.500 0.500 0.500
```

Calculated values
Magnetic moment in Bohr magnetons per cell: 0.0
DOS(E_F) in states/eV/atom: 0.230
SG: No. 115
Volume in Å³/atom: 10.88

b.
# SbC3

Crystalline SbC3 at its relaxed geometry (GGA-PBEsol, Alexandria).

The structure in CIF format:
```
data_SbC3
_cell_length_a 3.761
_cell_length_b 3.761
_cell_length_c 3.021
_cell_angle_alpha 90.00
_cell_angle_beta 90.00
_cell_angle_gamma 90.00
_space_group_name_H-M_alt 'P 1'
_space_group_IT_number 1
loop_
_space_group_symop_operation_xyz
'x,y,z'
loop_
_atom_site_label
_atom_site_type_symbol
_atom_site_fract_x
_atom_site_fract_y
_atom_site_fract_z
Sb1 Sb 0.000 0.000 0.000
C1 C 0.000 0.500 0.500
C2 C 0.500 0.000 0.500
C3 C 0.500 0.500 0.000
```

Calculated values
Magnetic moment in Bohr magnetons per cell: 0.0
DOS(E_F) in states/eV/atom: 0.431
SG: No. 123
Volume in Å³/atom: 10.68

Last place for stability: b

a.
# ScC

Crystalline ScC at its relaxed geometry (GGA-PBEsol, Alexandria).

The structure in CIF format:
```
data_ScC
_cell_length_a 4.504
_cell_length_b 4.504
_cell_length_c 6.094
_cell_angle_alpha 115.24
_cell_angle_beta 115.24
_cell_angle_gamma 41.37
_space_group_name_H-M_alt 'P 1'
_space_group_IT_number 1
loop_
_space_group_symop_operation_xyz
'x,y,z'
loop_
_atom_site_label
_atom_site_type_symbol
_atom_site_fract_x
_atom_site_fract_y
_atom_site_fract_z
Sc1 Sc 0.000 0.000 0.000
Sc2 Sc 0.650 0.650 0.696
Sc3 Sc 0.836 0.836 0.317
C1 C 0.170 0.170 0.429
C2 C 0.269 0.269 0.008
C3 C 0.351 0.351 0.611
```

Calculated values
Magnetic moment in Bohr magnetons per cell: 0.0
DOS(E_F) in states/eV/atom: 0.364
SG: No. 8
Volume in Å³/atom: 12.12

b.
# ScC

Crystalline ScC at its relaxed geometry (GGA-PBEsol, Alexandria).

The structure in CIF format:
```
data_ScC
_cell_length_a 3.922
_cell_length_b 3.922
_cell_length_c 4.538
_cell_angle_alpha 90.00
_cell_angle_beta 90.00
_cell_angle_gamma 120.00
_space_group_name_H-M_alt 'P 1'
_space_group_IT_number 1
loop_
_space_group_symop_operation_xyz
'x,y,z'
loop_
_atom_site_label
_atom_site_type_symbol
_atom_site_fract_x
_atom_site_fract_y
_atom_site_fract_z
Sc1 Sc 0.333 0.667 0.250
Sc2 Sc 0.667 0.333 0.750
C1 C 0.333 0.667 0.750
C2 C 0.667 0.333 0.250
```

Calculated values
Magnetic moment in Bohr magnetons per cell: 0.0
DOS(E_F) in states/eV/atom: 1.075
SG: No. 194
Volume in Å³/atom: 15.11

Last place for stability: b

a.
# Sc3C2

Crystalline Sc3C2 at its relaxed geometry (GGA-PBEsol, Alexandria).

The structure in CIF format:
```
data_Sc3C2
_cell_length_a 3.335
_cell_length_b 3.335
_cell_length_c 8.367
_cell_angle_alpha 90.00
_cell_angle_beta 90.00
_cell_angle_gamma 120.00
_space_group_name_H-M_alt 'P 1'
_space_group_IT_number 1
loop_
_space_group_symop_operation_xyz
'x,y,z'
loop_
_atom_site_label
_atom_site_type_symbol
_atom_site_fract_x
_atom_site_fract_y
_atom_site_fract_z
Sc1 Sc 0.000 0.000 0.000
Sc2 Sc 0.333 0.667 0.295
Sc3 Sc 0.667 0.333 0.705
C1 C 0.333 0.667 0.828
C2 C 0.667 0.333 0.172
```

Calculated values
Magnetic moment in Bohr magnetons per cell: 0.0
DOS(E_F) in states/eV/atom: 0.445
SG: No. 164
Volume in Å³/atom: 16.12

b.
# Sc3C2

Crystalline Sc3C2 at its relaxed geometry (GGA-PBEsol, Alexandria).

The structure in CIF format:
```
data_Sc3C2
_cell_length_a 8.715
_cell_length_b 8.715
_cell_length_c 8.715
_cell_angle_alpha 22.03
_cell_angle_beta 22.03
_cell_angle_gamma 22.03
_space_group_name_H-M_alt 'P 1'
_space_group_IT_number 1
loop_
_space_group_symop_operation_xyz
'x,y,z'
loop_
_atom_site_label
_atom_site_type_symbol
_atom_site_fract_x
_atom_site_fract_y
_atom_site_fract_z
Sc1 Sc 0.000 0.000 0.000
Sc2 Sc 0.236 0.236 0.236
Sc3 Sc 0.764 0.764 0.764
C1 C 0.390 0.390 0.390
C2 C 0.610 0.610 0.610
```

Calculated values
Magnetic moment in Bohr magnetons per cell: 0.0
DOS(E_F) in states/eV/atom: 0.332
SG: No. 166
Volume in Å³/atom: 16.33

Last place for stability: b